Here is a geometry-optimized TbPaNb structure from the Open Quantum Materials Database. Energies are from PBE-GGA.

Summary:
Symmetry: F-43m, No. 216
Relative energy among the computed polymorphs, meV per atom: 0
Total DFT energy (no corrections), eV for the cell shown: -22.147
Calculated formation energy, kJ per mole of atoms: 66.6

Cell and atoms, written as POSCAR:
```
TbPaNb
1.0
0.000 3.453 3.453
3.453 0.000 3.453
3.453 3.453 0.000
Tb Nb Pa
1 1 1
direct
0.750 0.750 0.750
0.000 0.000 0.000
0.250 0.250 0.250
```